First-principles (SCAN) data for Cs2AgBiCl6 at its PBEsol-relaxed geometry, as listed in Alexandria.

POSCAR file:
```
Cs2AgBiCl6
1.0
0.0000 5.3332 5.3332
5.3332 0.0000 5.3332
5.3332 5.3332 0.0000
Cs Ag Bi Cl
2 1 1 6
Direct
0.2500 0.2500 0.2500 Cs
0.7500 0.7500 0.7500 Cs
0.0000 0.0000 0.0000 Ag
0.5000 0.5000 0.5000 Bi
0.2474 0.2474 0.7526 Cl
0.2474 0.7526 0.2474 Cl
0.2474 0.7526 0.7526 Cl
0.7526 0.2474 0.2474 Cl
0.7526 0.2474 0.7526 Cl
0.7526 0.7526 0.2474 Cl
```

Summary:
total magnetic moment	0.000	μB per cell
formation energy from raw total energies	-14.78	eV/f.u.
SG	No. 225
V	30.34	A^3/atom

***

First-principles (SCAN) data for K2AgBiCl6 at its PBEsol-relaxed geometry, as listed in Alexandria.

POSCAR file:
```
K2AgBiCl6
1.0
0.0000 5.2907 5.2907
5.2907 0.0000 5.2907
5.2907 5.2907 0.0000
K Ag Bi Cl
2 1 1 6
Direct
0.2500 0.2500 0.2500 K
0.7500 0.7500 0.7500 K
0.0000 0.0000 0.0000 Ag
0.5000 0.5000 0.5000 Bi
0.2467 0.2467 0.7533 Cl
0.2467 0.7533 0.2467 Cl
0.2467 0.7533 0.7533 Cl
0.7533 0.2467 0.2467 Cl
0.7533 0.2467 0.7533 Cl
0.7533 0.7533 0.2467 Cl
```

Summary:
total magnetic moment	0.000	μB per cell
formation energy from raw total energies	-13.67	eV/f.u.
SG	No. 225
V	29.62	A^3/atom

***

First-principles (SCAN) data for AgBiPCl2 at its PBEsol-relaxed geometry, as listed in Alexandria.

POSCAR file:
```
AgBiPCl2
1.0
5.2614 0.0000 0.0000
0.0000 5.2614 0.0000
0.0000 0.0000 5.3352
Ag Bi P Cl
1 1 1 2
Direct
0.0000 0.0000 0.0000 Ag
0.5000 0.5000 0.5000 Bi
0.5000 0.5000 0.0000 P
0.0000 0.5000 0.5000 Cl
0.5000 0.0000 0.5000 Cl
```

Summary:
total magnetic moment	0.511	μB per cell
formation energy from raw total energies	1.65	eV/f.u.
SG	No. 123
V	29.54	A^3/atom

***

First-principles (SCAN) data for Rb2AgBiCl6 at its PBEsol-relaxed geometry, as listed in Alexandria.

POSCAR file:
```
Rb2AgBiCl6
1.0
0.0000 5.3069 5.3069
5.3069 0.0000 5.3069
5.3069 5.3069 0.0000
Rb Ag Bi Cl
2 1 1 6
Direct
0.2500 0.2500 0.2500 Rb
0.7500 0.7500 0.7500 Rb
0.0000 0.0000 0.0000 Ag
0.5000 0.5000 0.5000 Bi
0.2470 0.2470 0.7530 Cl
0.2470 0.7530 0.2470 Cl
0.2470 0.7530 0.7530 Cl
0.7530 0.2470 0.2470 Cl
0.7530 0.2470 0.7530 Cl
0.7530 0.7530 0.2470 Cl
```

Summary:
total magnetic moment	0.000	μB per cell
formation energy from raw total energies	-14.17	eV/f.u.
SG	No. 225
V	29.89	A^3/atom

***

First-principles (SCAN) data for CoAgBi3 at its PBEsol-relaxed geometry, as listed in Alexandria.

POSCAR file:
```
CoAgBi3
1.0
5.3656 0.0000 0.0000
0.0000 5.3656 0.0000
0.0000 0.0000 5.3656
Co Ag Bi
1 1 3
Direct
0.0000 0.0000 0.0000 Co
0.5000 0.5000 0.5000 Ag
0.0000 0.5000 0.5000 Bi
0.5000 0.0000 0.5000 Bi
0.5000 0.5000 0.0000 Bi
```

Summary:
total magnetic moment	2.253	μB per cell
ΔH_f (0 K)	1.0781	eV per atom
SG	No. 221
V	30.89	A^3/atom

***

First-principles (SCAN) data for Co2AgBiN at its PBEsol-relaxed geometry, as listed in Alexandria.

POSCAR file:
```
Co2AgBiN
1.0
4.5654 0.0000 0.0000
0.0000 4.5654 0.0000
0.0000 0.0000 5.3256
Co Ag Bi N
2 1 1 1
Direct
0.0000 0.5000 0.0000 Co
0.5000 0.0000 0.0000 Co
0.0000 0.0000 0.0000 Ag
0.0000 0.0000 0.5000 Bi
0.5000 0.5000 0.5000 N
```

Summary:
total magnetic moment	6.347	μB per cell
formation energy from raw total energies	11.09	eV/f.u.
SG	No. 123
V	22.20	A^3/atom

***

Q: total magnetic moment of number 4 (Rb2AgBiCl6)?
A: 0.000 μB per cell